(1)
A geometry-optimized HoTmSbI2 structure, computed with GGA-PBE.

a b c (Å): 4.2988 4.2988 11.0907
angles (deg): 90.00 90.00 120.00
Closest atoms and distances in Å follow each position.
Atoms (fractional coordinates):
Ho 0.0000 0.0000 0.0000  3 Sb 3.00, 3 I 3.15
Tm 0.6667 0.3333 0.6998  3 Sb 2.98, 3 I 3.14
Sb 0.3333 0.6667 0.8479  3 Tm 2.98, 3 Ho 3.00
I 0.0000 0.0000 0.5262  3 Tm 3.14
I 0.6667 0.3333 0.1745  3 Ho 3.15

energy: -22.34 eV per cell

(2)
A geometry-optimized YHoSbI2 structure, computed with GGA-PBE.

a b c (Å): 4.3313 4.3313 11.1838
angles (deg): 90.00 90.00 120.00
Closest atoms and distances in Å follow each position.
Atoms (fractional coordinates):
Y 0.0000 0.0000 0.0000  3 Sb 3.02, 3 I 3.17
Ho 0.3333 0.6667 0.3010  3 Sb 3.01, 3 I 3.16
Sb 0.6667 0.3333 0.1519  3 Ho 3.01, 3 Y 3.02
I 0.0000 0.0000 0.4743  3 Ho 3.16
I 0.3333 0.6667 0.8260  3 Y 3.17

energy: -24.58 eV per cell

(3)
A geometry-optimized Ho4SiI5 structure, computed with GGA-PBE.

a b c (Å): 9.7342 9.7342 8.7440
angles (deg): 102.30 102.30 24.74
Closest atoms and distances in Å follow each position.
Atoms (fractional coordinates):
Ho 0.9998 0.9998 0.2083  2 Si 2.77
Ho 0.0002 0.0002 0.7917  2 Si 2.77
Ho 0.3554 0.3554 0.9272  1 Si 2.68
Ho 0.6446 0.6446 0.0728  1 Si 2.68
Si 0.5000 0.5000 0.0000  6 Ho 2.68-2.77
I 0.1661 0.1661 0.3356  3 Ho 3.06-3.11
I 0.1719 0.1719 0.8294  4 Ho 3.10-3.41
I 0.5000 0.5000 0.5000  4 Ho 3.29
I 0.8281 0.8281 0.1706  4 Ho 3.10-3.41
I 0.8339 0.8339 0.6644  3 Ho 3.06-3.11

energy: -42.92 eV per cell

(4)
A geometry-optimized SmHoI4 structure, computed with GGA-PBE.

a b c (Å): 7.1644 4.1311 8.0852
angles (deg): 90.00 107.38 90.00
Closest atoms and distances in Å follow each position.
Atoms (fractional coordinates):
Sm 0.0000 0.0000 0.0000  6 I 3.13-3.14
Ho 0.5000 0.5000 0.0000  6 I 3.07-3.08
I 0.2541 0.0000 0.7449  2 Ho 3.07, 1 Sm 3.13
I 0.2616 0.5000 0.2603  1 Ho 3.08, 2 Sm 3.14
I 0.7384 0.5000 0.7397  1 Ho 3.08, 2 Sm 3.14
I 0.7459 0.0000 0.2551  2 Ho 3.07, 1 Sm 3.13

energy: -22.81 eV per cell